SrTa2VPd | PBE | relaxed

Lattice parameters (Å, degrees): 4.8777 4.8777 4.4089 90.00 90.00 90.00
Closest atoms and distances in Å follow each position.
Space group P4/mmm (No. 123)
Inequivalent atoms, fractional coordinates:
Sr1 0.0000 0.0000 0.0000 [1 per cell]  2 V 2.20, 4 Ta 2.44
Ta1 0.0000 0.5000 0.0000 [2 per cell]  2 Sr 2.44
V1 0.0000 0.0000 0.5000 [1 per cell]  2 Sr 2.20
Pd1 0.5000 0.5000 0.5000 [1 per cell]  8 Ta 3.29, 4 V 3.45

## Properties
**ΔH_f (0 K)**: 2.701 eV per atom

SrTb2Pd3 | PBE | relaxed

Lattice parameters (Å, degrees): 3.5586 3.5586 11.0208 90.00 90.00 90.00
Closest atoms and distances in Å follow each position.
Space group P4/mmm (No. 123)
Inequivalent atoms, fractional coordinates:
Sr1 0.0000 0.0000 0.0000 [1 per cell]  8 Pd 3.35, 4 Sr 3.56, 2 Tb 3.73
Tb1 0.0000 0.0000 0.3386 [2 per cell]  8 Pd 2.94-3.08
Pd1 0.5000 0.5000 0.2006 [2 per cell]  4 Tb 2.94
Pd2 0.5000 0.5000 0.5000 [1 per cell]  8 Tb 3.08, 2 Pd 3.30

## Properties
**ΔH_f (0 K)**: -0.794 eV per atom

SrTb4Pd5 | PBE | relaxed

Lattice parameters (Å, degrees): 3.5405 3.5405 18.1177 90.00 90.00 90.00
Closest atoms and distances in Å follow each position.
Space group P4/mmm (No. 123)
Inequivalent atoms, fractional coordinates:
Sr1 0.0000 0.0000 0.0000 [1 per cell]  8 Pd 3.34, 4 Sr 3.54
Tb1 0.0000 0.0000 0.2067 [2 per cell]  8 Pd 2.94-3.09
Tb2 0.0000 0.0000 0.4029 [2 per cell]  8 Pd 3.05-3.06
Pd1 0.5000 0.5000 0.1219 [2 per cell]  4 Tb 2.94
Pd2 0.5000 0.5000 0.3070 [2 per cell]  8 Tb 3.05-3.09, 1 Pd 3.35
Pd3 0.5000 0.5000 0.5000 [1 per cell]  8 Tb 3.06

## Properties
**ΔH_f (0 K)**: -0.818 eV per atom

SrTb3Pd | PBE | relaxed

Lattice parameters (Å, degrees): 5.5971 5.5971 5.5971 90.00 90.00 90.00
Closest atoms and distances in Å follow each position.
Space group Pm-3m (No. 221)
Inequivalent atoms, fractional coordinates:
Sr1 0.0000 0.0000 0.0000 [1 per cell]  12 Tb 3.96
Tb1 0.0000 0.5000 0.5000 [3 per cell]  2 Pd 2.80
Pd1 0.5000 0.5000 0.5000 [1 per cell]  6 Tb 2.80

## Properties
**ΔH_f (0 K)**: -0.167 eV per atom

SrTb4Pd4 | PBE | relaxed

Lattice parameters (Å, degrees): 9.4176 9.4176 5.6876 90.00 90.00 90.00
Closest atoms and distances in Å follow each position.
Space group P4_2/n (No. 86, origin choice 2)
Inequivalent atoms, fractional coordinates:
Sr1 0.2500 0.2500 0.2500 [2 per cell]  4 Pd 3.20
Tb1 0.0910 0.6445 0.1659 [8 per cell]  5 Pd 2.84-2.94
Pd1 0.0548 0.6099 0.6659 [8 per cell]  5 Tb 2.84-2.94, 1 Pd 2.98

## Properties
**ΔH_f (0 K)**: -0.663 eV per atom

Sr2Tb2Pd15 | PBE | relaxed

Lattice parameters (Å, degrees): 9.3695 9.3695 14.1645 90.00 90.00 120.00
Closest atoms and distances in Å follow each position.
Space group R-3m (No. 166, hexagonal axes)
Inequivalent atoms, fractional coordinates:
Sr1 0.0000 0.0000 0.1402 [6 per cell]  12 Pd 3.23-3.46, 1 Tb 3.54
Tb1 0.0000 0.0000 0.3903 [6 per cell]  6 Pd 2.82-2.90, 1 Tb 3.11
Pd1 0.0000 0.2977 0.5000 [18 per cell]  8 Pd 2.76-2.93
Pd2 0.0000 0.5000 0.0000 [9 per cell]  8 Pd 2.72-2.76, 2 Tb 2.82
Pd3 0.0017 0.5009 0.6528 [18 per cell]  8 Pd 2.72-2.93, 1 Tb 2.90

## Properties
**ΔH_f (0 K)**: -0.504 eV per atom

Sr2TbPd | PBE | relaxed

Lattice parameters (Å, degrees): 3.9220 3.9220 33.7584 90.00 90.00 120.00
Closest atoms and distances in Å follow each position.
Space group R-3m (No. 166, hexagonal axes)
Inequivalent atoms, fractional coordinates:
Sr1 0.0000 0.0000 0.1091 [6 per cell]  3 Pd 2.98
Tb1 0.0000 0.0000 0.0000 [3 per cell]  2 Sr 3.68, 6 Tb 3.92
Pd1 0.0000 0.0000 0.5000 [3 per cell]  6 Sr 2.98

## Properties
**ΔH_f (0 K)**: 0.041 eV per atom

SrTbTlPd | PBE | relaxed

Lattice parameters (Å, degrees): 7.5610 7.5610 7.5610 90.00 90.00 90.00
Closest atoms and distances in Å follow each position.
Space group F-43m (No. 216)
Inequivalent atoms, fractional coordinates:
Sr1 0.0000 0.0000 0.0000 [4 per cell]  4 Pd 3.27, 4 Tl 3.27
Tb1 0.0000 0.0000 0.5000 [4 per cell]  4 Tl 3.27, 4 Pd 3.27
Tl1 0.2500 0.2500 0.2500 [4 per cell]  4 Tb 3.27, 4 Sr 3.27
Pd1 0.2500 0.2500 0.7500 [4 per cell]  4 Tb 3.27, 4 Sr 3.27

## Properties
**ΔH_f (0 K)**: -0.414 eV per atom

SrTbZn2Pd2 | PBE | relaxed

Lattice parameters (Å, degrees): 4.4545 4.4545 7.8894 90.00 90.00 120.00
Closest atoms and distances in Å follow each position.
Space group P-3m1 (No. 164)
Inequivalent atoms, fractional coordinates:
Sr1 0.0000 0.0000 0.0000 [1 per cell]  6 Zn 3.40, 6 Pd 3.46
Tb1 0.0000 0.0000 0.5000 [1 per cell]  6 Pd 3.05, 6 Zn 3.09
Zn1 0.3333 0.6667 0.2822 [2 per cell]  3 Pd 2.57
Pd1 0.3333 0.6667 0.7075 [2 per cell]  3 Zn 2.57

## Properties
**ΔH_f (0 K)**: -0.633 eV per atom

SrTbZnPd | PBE | relaxed

Lattice parameters (Å, degrees): 7.3170 7.3170 7.3170 90.00 90.00 90.00
Closest atoms and distances in Å follow each position.
Space group F-43m (No. 216)
Inequivalent atoms, fractional coordinates:
Sr1 0.0000 0.0000 0.0000 [4 per cell]  4 Pd 3.17, 4 Zn 3.17
Tb1 0.0000 0.0000 0.5000 [4 per cell]  4 Zn 3.17, 4 Pd 3.17
Zn1 0.2500 0.2500 0.2500 [4 per cell]  4 Tb 3.17, 4 Sr 3.17
Pd1 0.2500 0.2500 0.7500 [4 per cell]  4 Tb 3.17, 4 Sr 3.17

## Properties
**ΔH_f (0 K)**: -0.399 eV per atom

SrTcPd3 | PBE | relaxed

Lattice parameters (Å, degrees): 4.8896 4.8896 4.8896 90.00 90.00 90.00
Closest atoms and distances in Å follow each position.
Space group Pm-3m (No. 221)
Inequivalent atoms, fractional coordinates:
Sr1 0.0000 0.0000 0.0000 [1 per cell]  12 Pd 3.46
Tc1 0.5000 0.5000 0.5000 [1 per cell]  6 Pd 2.44
Pd1 0.0000 0.5000 0.5000 [3 per cell]  2 Tc 2.44

## Properties
**ΔH_f (0 K)**: 0.368 eV per atom

SrTc3Pd | PBE | relaxed

Lattice parameters (Å, degrees): 4.6955 4.6955 4.6955 90.00 90.00 90.00
Closest atoms and distances in Å follow each position.
Space group Pm-3m (No. 221)
Inequivalent atoms, fractional coordinates:
Sr1 0.0000 0.0000 0.0000 [1 per cell]  6 Tc 2.35
Tc1 0.0000 0.0000 0.5000 [3 per cell]  2 Sr 2.35
Pd1 0.5000 0.5000 0.5000 [1 per cell]  12 Tc 3.32

## Properties
**ΔH_f (0 K)**: 2.951 eV per atom

SrTcPd3 | PBE | relaxed

Lattice parameters (Å, degrees): 5.0789 5.0789 5.0789 90.00 90.00 90.00
Closest atoms and distances in Å follow each position.
Space group Pm-3m (No. 221)
Inequivalent atoms, fractional coordinates:
Sr1 0.0000 0.0000 0.0000 [1 per cell]  6 Pd 2.54
Tc1 0.5000 0.5000 0.5000 [1 per cell]  12 Pd 3.59
Pd1 0.0000 0.0000 0.5000 [3 per cell]  2 Sr 2.54

## Properties
**ΔH_f (0 K)**: 1.534 eV per atom